[1]
5
Lattice="4.3677 0.0000 0.0000 0.0000 4.3677 0.0000 0.0000 0.0000 6.0567" Properties=species:S:1:pos:R:3 comment="NaSiTeN2, optimized geometry, DFT PBE-GGA" n_ef_per_ev_cell=1.4 rho_g_cm3=3.0 relative_energy_ev_per_atom=1.320 raw_formation_energy_mev_per_atom=1996.8 pbc="T T T"
Na 0.0000 0.0000 0.0000
Si 2.1839 2.1839 3.0284
Te 0.0000 0.0000 3.0284
N 0.0000 2.1839 0.0000
N 2.1839 0.0000 0.0000

[2]
12
Lattice="3.3392 -0.0008 1.1982 0.7590 7.6915 -2.1084 -0.4150 -4.0885 6.4079" Properties=species:S:1:pos:R:3 comment="Co4TcNi, optimized geometry, DFT PBE-GGA" n_ef_per_ev_cell=17.1 rho_g_cm3=9.6 relative_energy_ev_per_atom=0.000 pbc="T T T"
Co 2.6704 4.4452 0.4420
Co 3.0621 3.0022 4.6006
Co 1.0128 -0.8431 5.0557
Co 0.6211 0.5999 0.8971
Co 0.5824 3.1214 1.0079
Co 1.8105 4.3268 2.8364
Co 3.1008 0.4807 4.4898
Co 1.8727 -0.7246 2.6613
Tc 1.8416 1.8011 2.7488
Tc -0.2075 -2.0442 3.2040
Ni 2.2789 -2.1663 6.7794
Ni 1.4042 5.7685 -1.2817

[3]
10
Lattice="-4.2349 2.3687 -3.5695 0.4004 -2.1569 -6.9893 -6.1439 -3.9666 -0.4259" Properties=species:S:1:pos:R:3 comment="BiPb4S5, optimized geometry, DFT PBE-GGA" n_ef_per_ev_cell=3.0 rho_g_cm3=7.4 raw_formation_energy_mev_per_atom=-440.1 pbc="T T T"
Bi -0.0069 0.0039 -0.0058
Pb -6.4602 -3.0923 -4.5635
Pb -6.7562 -2.2153 -8.7132
Pb -3.2306 -1.5348 -2.2786
Pb -3.5267 -0.6578 -6.4283
S -8.6389 -1.9182 -6.2766
S -4.6584 -3.4877 -6.9577
S -5.3236 -0.2651 -4.0300
S -1.3431 -1.8345 -4.7111
S -2.1302 1.1915 -1.7955

[4]
3
Lattice="4.7655 0.0000 0.0000 2.3828 4.1271 0.0000 2.3828 1.3757 3.8910" Properties=species:S:1:pos:R:3 comment="CeTmTc, optimized geometry, DFT PBE-GGA" n_ef_per_ev_cell=2.4 rho_g_cm3=8.8 relative_energy_ev_per_atom=0.143 pbc="T T T"
Tm 0.0000 0.0000 0.0000
Tc 2.3828 1.3757 0.9728
Ce 4.7655 2.7514 1.9455